(1)
# MgTaSi, relaxed, DFT PBEsol
# - space-group type = Imm2, No. 44
# - raw formation energy (meV per atom) = 59
# - VASP energy (eV per cell) = -19.84
# - calculated volume (Å³/cell) = 50
data_MgTaSi
_chemical_formula_sum 'Mg1 Ta1 Si1'
_symmetry_space_group_name_H-M 'P 1'
_symmetry_Int_Tables_number 1
_symmetry_space_group_name_Hall 'P 1'
_cell_length_a 5.3911
_cell_length_b 5.3911
_cell_length_c 5.3911
_cell_angle_alpha 148.64
_cell_angle_beta 141.74
_cell_angle_gamma 50.28
loop_
_atom_site_label
_atom_site_type_symbol
_atom_site_fract_x
_atom_site_fract_y
_atom_site_fract_z
Mg1 Mg 0.0000 0.0000 0.0000
Ta1 Ta 0.3083 0.3083 0.0000
Si1 Si 0.6693 0.6693 0.0000

---

(2)
# Al3Re, relaxed, DFT PBEsol
# - space-group type = Pm-3m, No. 221
# - E_form (meV/atom) = -27
# - VASP energy (eV per cell) = -25.71
# - calculated volume (Å³/cell) = 58
data_Al3Re
_chemical_formula_sum 'Al3 Re1'
_symmetry_space_group_name_H-M 'P 1'
_symmetry_Int_Tables_number 1
_symmetry_space_group_name_Hall 'P 1'
_cell_length_a 3.8705
_cell_length_b 3.8705
_cell_length_c 3.8705
_cell_angle_alpha 90.00
_cell_angle_beta 90.00
_cell_angle_gamma 90.00
loop_
_atom_site_label
_atom_site_type_symbol
_atom_site_fract_x
_atom_site_fract_y
_atom_site_fract_z
Al1 Al 0.0000 0.0000 0.5000
Al2 Al 0.0000 0.5000 0.0000
Al3 Al 0.5000 0.0000 0.0000
Re1 Re 0.5000 0.5000 0.5000

---

(3)
# LaCuNi2, relaxed, DFT PBEsol
# - space-group type = Cm, No. 8
# - E_form (meV/atom) = -198
# - VASP energy (eV per cell) = -22.79
# - calculated volume (Å³/cell) = 68
data_LaCuNi2
_chemical_formula_sum 'La1 Cu1 Ni2'
_symmetry_space_group_name_H-M 'P 1'
_symmetry_Int_Tables_number 1
_symmetry_space_group_name_Hall 'P 1'
_cell_length_a 4.0759
_cell_length_b 4.0759
_cell_length_c 5.2719
_cell_angle_alpha 112.82
_cell_angle_beta 112.82
_cell_angle_gamma 60.02
loop_
_atom_site_label
_atom_site_type_symbol
_atom_site_fract_x
_atom_site_fract_y
_atom_site_fract_z
La1 La 0.0000 0.0000 0.0000
Cu1 Cu 0.8040 0.8040 0.4111
Ni1 Ni 0.1948 0.1948 0.5828
Ni2 Ni 0.5068 0.5068 0.5192